Computed, not measured: crystalline Pm5Ge2Ir2 at its relaxed geometry at the PBE level of DFT.

abc: 9.883 9.883 9.883
angles: 66.39 132.45 136.52
Fractional positions:
Pm1 0.135 0.444 0.989
Pm2 0.135 0.646 0.190
Pm3 0.180 0.061 0.241
Pm4 0.180 0.439 0.619
Pm5 0.455 0.146 0.011
Pm6 0.455 0.944 0.810
Pm7 0.556 0.444 0.612
Pm8 0.820 0.561 0.381
Pm9 0.820 0.939 0.759
Pm10 0.833 0.944 0.388
Ge1 0.626 0.080 0.393
Ge2 0.626 0.733 0.046
Ge3 0.687 0.233 0.607
Ge4 0.687 0.580 0.954
Ir1 0.023 0.786 0.736
Ir2 0.050 0.286 0.264
Ir3 0.323 0.323 0.000
Ir4 0.323 0.823 0.500

Properties
For the calculated formation energy, the calculation gives -0.57 eV per atom.